Material: Sr3SmTe4
Method: DFT, PBE-GGA
State: relaxed

It has space group Cmmm (No. 65), with a = 9.350 Å, b = 13.165 Å, c = 4.631 Å, α = 90.00°, β = 90.00° and γ = 90.00°. Symmetry generates all atoms from Sr at (0.000, 0.000, 0.000), Sr at (0.250, 0.250, 0.500), Sm at (0.000, 0.500, 0.000), Te at (0.000, 0.256, 0.000) and Te at (0.239, 0.500, 0.500).

The calculation puts the formation energy from raw total energies at -1626 meV/atom. For the magnetization, the calculation gives 0.000 μB per formula unit.